Entry P
A geometry-optimized ScIn3S6 structure. Source: Alexandria, functional PBE.

Cell: 7.057 7.057 7.057 Å, 55.91 55.91 55.91°
Fractional positions:
Sc 0.000 0.000 0.000
In 0.206 0.206 0.206
In 0.497 0.497 0.497
In 0.704 0.704 0.704
S 0.101 0.799 0.395
S 0.291 0.608 0.898
S 0.395 0.101 0.799
S 0.608 0.898 0.291
S 0.799 0.395 0.101
S 0.898 0.291 0.608

Entry Q
A geometry-optimized ScIn3S6 structure. Source: Alexandria, functional PBE.

Cell: 10.705 3.829 11.192 Å, 90.00 111.09 90.00°
Fractional positions:
Sc 0.190 0.250 0.044
Sc 0.810 0.750 0.956
In 0.016 0.750 0.297
In 0.334 0.250 0.430
In 0.410 0.750 0.835
In 0.590 0.250 0.165
In 0.666 0.750 0.570
In 0.984 0.250 0.703
S 0.039 0.750 0.909
S 0.106 0.250 0.454
S 0.231 0.750 0.243
S 0.239 0.250 0.808
S 0.403 0.750 0.071
S 0.435 0.750 0.602
S 0.565 0.250 0.398
S 0.597 0.250 0.929
S 0.761 0.750 0.192
S 0.769 0.250 0.757
S 0.894 0.750 0.546
S 0.961 0.250 0.091

Verdict on stability: entry Q comes out at the bottom.

Entry P
A geometry-optimized ScIn3S structure. Source: Alexandria, functional PBE.

Cell: 5.229 5.229 5.229 Å, 90.00 90.00 90.00°
Fractional positions:
Sc 0.000 0.000 0.000
In 0.000 0.500 0.500
In 0.500 0.000 0.500
In 0.500 0.500 0.000
S 0.500 0.500 0.500

Entry Q
A geometry-optimized ScIn3S structure. Source: Alexandria, functional PBE.

Cell: 5.645 5.645 5.645 Å, 90.00 90.00 90.00°
Fractional positions:
Sc 0.000 0.000 0.000
In 0.000 0.000 0.500
In 0.000 0.500 0.000
In 0.500 0.000 0.000
S 0.500 0.500 0.500

Verdict on stability: entry Q comes out at the bottom.

Entry P
A geometry-optimized In3Se3S structure. Source: Alexandria, functional PBE.

Cell: 8.978 8.978 5.927 Å, 90.00 90.00 119.96°
Fractional positions:
In 0.168 0.832 0.750
In 0.169 0.338 0.750
In 0.338 0.169 0.250
In 0.662 0.831 0.750
In 0.831 0.662 0.250
In 0.832 0.168 0.250
Se 0.176 0.824 0.250
Se 0.177 0.353 0.250
Se 0.353 0.177 0.750
Se 0.647 0.823 0.250
Se 0.823 0.647 0.750
Se 0.824 0.176 0.750
S 0.333 0.667 0.750
S 0.667 0.333 0.250

Entry Q
A geometry-optimized In3Se3S structure. Source: Alexandria, functional PBE.

Cell: 13.359 13.359 4.193 Å, 90.00 90.00 120.00°
Fractional positions:
In 0.117 0.597 0.250
In 0.403 0.520 0.250
In 0.480 0.883 0.250
In 0.520 0.117 0.750
In 0.597 0.480 0.750
In 0.883 0.403 0.750
Se 0.016 0.638 0.750
Se 0.362 0.378 0.750
Se 0.378 0.016 0.250
Se 0.622 0.984 0.750
Se 0.638 0.622 0.250
Se 0.984 0.362 0.250
S 0.333 0.667 0.250
S 0.667 0.333 0.750

Verdict on stability: entry Q comes out at the bottom.

Entry P
A geometry-optimized In4Se3S structure. Source: Alexandria, functional PBE.

Cell: 8.296 9.810 6.705 Å, 90.00 90.00 90.00°
Fractional positions:
In 0.000 0.119 0.000
In 0.000 0.867 0.509
In 0.224 0.331 0.554
In 0.276 0.669 0.054
In 0.500 0.133 0.009
In 0.500 0.881 0.500
In 0.724 0.669 0.054
In 0.776 0.331 0.554
Se 0.000 0.864 0.113
Se 0.244 0.276 0.103
Se 0.256 0.724 0.603
Se 0.500 0.136 0.613
Se 0.744 0.724 0.603
Se 0.756 0.276 0.103
S 0.000 0.109 0.622
S 0.500 0.891 0.122

Entry Q
A geometry-optimized In4Se3S structure. Source: Alexandria, functional PBE.

Cell: 8.199 9.926 6.734 Å, 90.00 90.00 90.00°
Fractional positions:
In 0.000 0.163 0.000
In 0.000 0.835 0.468
In 0.247 0.630 0.955
In 0.253 0.370 0.455
In 0.500 0.165 0.968
In 0.500 0.837 0.500
In 0.747 0.370 0.455
In 0.753 0.630 0.955
Se 0.000 0.221 0.552
Se 0.249 0.624 0.561
Se 0.251 0.376 0.061
Se 0.500 0.779 0.052
Se 0.749 0.376 0.061
Se 0.751 0.624 0.561
S 0.000 0.763 0.052
S 0.500 0.237 0.552

Verdict on stability: entry Q comes out at the bottom.

Entry P
A geometry-optimized In3SeS structure. Source: Alexandria, functional PBE.

Cell: 5.387 5.387 5.387 Å, 90.00 90.00 90.00°
Fractional positions:
In 0.000 0.000 0.500
In 0.000 0.500 0.000
In 0.500 0.000 0.000
Se 0.500 0.500 0.500
S 0.000 0.000 0.000

Entry Q
A geometry-optimized In3SeS structure. Source: Alexandria, functional PBE.

Cell: 5.615 5.615 5.615 Å, 90.00 90.00 90.00°
Fractional positions:
In 0.000 0.000 0.500
In 0.000 0.500 0.000
In 0.500 0.000 0.000
Se 0.000 0.000 0.000
S 0.500 0.500 0.500

Verdict on stability: entry Q comes out at the bottom.

Entry P
A geometry-optimized In4SeS3 structure. Source: Alexandria, functional PBE.

Cell: 8.230 7.005 8.109 Å, 90.00 90.00 90.00°
Fractional positions:
In 0.000 0.236 0.000
In 0.000 0.745 0.515
In 0.246 0.165 0.550
In 0.254 0.835 0.050
In 0.500 0.255 0.015
In 0.500 0.764 0.500
In 0.746 0.835 0.050
In 0.754 0.165 0.550
Se 0.000 0.621 0.131
Se 0.500 0.379 0.631
S 0.000 0.365 0.625
S 0.250 0.133 0.237
S 0.250 0.867 0.737
S 0.500 0.635 0.125
S 0.750 0.133 0.237
S 0.750 0.867 0.737

Entry Q
A geometry-optimized In4SeS3 structure. Source: Alexandria, functional PBE.

Cell: 8.022 9.707 6.590 Å, 90.00 90.00 90.00°
Fractional positions:
In 0.000 0.122 0.000
In 0.000 0.866 0.510
In 0.224 0.338 0.530
In 0.276 0.662 0.030
In 0.500 0.134 0.010
In 0.500 0.878 0.500
In 0.724 0.662 0.030
In 0.776 0.338 0.530
Se 0.000 0.862 0.108
Se 0.500 0.138 0.608
S 0.000 0.112 0.617
S 0.244 0.266 0.103
S 0.256 0.734 0.603
S 0.500 0.888 0.117
S 0.744 0.734 0.603
S 0.756 0.266 0.103

Verdict on stability: entry P comes out at the bottom.

Entry P
A geometry-optimized In3SeS2 structure. Source: Alexandria, functional PBE.

Cell: 7.559 7.559 7.181 Å, 90.00 90.00 57.88°
Fractional positions:
In 0.048 0.561 0.250
In 0.237 0.763 0.750
In 0.439 0.952 0.250
In 0.561 0.048 0.750
In 0.763 0.237 0.250
In 0.952 0.439 0.750
Se 0.161 0.839 0.250
Se 0.839 0.161 0.750
S 0.263 0.263 0.000
S 0.263 0.263 0.500
S 0.737 0.737 0.000
S 0.737 0.737 0.500

Entry Q
A geometry-optimized In3SeS2 structure. Source: Alexandria, functional PBE.

Cell: 4.144 11.508 7.367 Å, 90.00 90.00 90.00°
Fractional positions:
In 0.000 0.000 0.000
In 0.000 0.363 0.095
In 0.000 0.637 0.095
In 0.500 0.137 0.595
In 0.500 0.500 0.500
In 0.500 0.863 0.595
Se 0.000 0.500 0.712
Se 0.500 0.000 0.212
S 0.000 0.192 0.830
S 0.000 0.808 0.830
S 0.500 0.308 0.330
S 0.500 0.692 0.330

Verdict on stability: entry P comes out at the bottom.

Entry P
A geometry-optimized InSi2S structure. Source: Alexandria, functional PBE.

Cell: 5.640 5.640 12.300 Å, 90.00 90.00 90.00°
Fractional positions:
In 0.000 0.000 0.000
In 0.000 0.500 0.250
In 0.500 0.000 0.750
In 0.500 0.500 0.500
Si 0.216 0.250 0.625
Si 0.250 0.716 0.875
Si 0.250 0.784 0.375
Si 0.284 0.250 0.125
Si 0.716 0.750 0.125
Si 0.750 0.216 0.375
Si 0.750 0.284 0.875
Si 0.784 0.750 0.625
S 0.000 0.000 0.500
S 0.000 0.500 0.750
S 0.500 0.000 0.250
S 0.500 0.500 0.000

Entry Q
A geometry-optimized InSi2S structure. Source: Alexandria, functional PBE.

Cell: 6.669 6.669 6.669 Å, 90.00 90.00 90.00°
Fractional positions:
In 0.000 0.000 0.000
In 0.000 0.500 0.500
In 0.500 0.000 0.500
In 0.500 0.500 0.000
Si 0.250 0.250 0.250
Si 0.250 0.250 0.750
Si 0.250 0.750 0.250
Si 0.250 0.750 0.750
Si 0.750 0.250 0.250
Si 0.750 0.250 0.750
Si 0.750 0.750 0.250
Si 0.750 0.750 0.750
S 0.000 0.000 0.500
S 0.000 0.500 0.000
S 0.500 0.000 0.000
S 0.500 0.500 0.500

Verdict on stability: entry Q comes out at the bottom.